Density functional theory data (PBE with a Hubbard U) for TbPuCrO6 after structural relaxation.

Geometry as CIF:
```
data_TbPuCrO6
_symmetry_space_group_name_H-M 'P -3 1 c'
_symmetry_Int_Tables_number 163
_symmetry_space_group_name_Hall '-P 3 2c'
_cell_length_a 5.5770
_cell_length_b 5.5770
_cell_length_c 8.6796
_cell_angle_alpha 90.00
_cell_angle_beta 90.00
_cell_angle_gamma 120.00
loop_
_atom_site_label
_atom_site_fract_x
_atom_site_fract_y
_atom_site_fract_z
Tb1 0.3333 0.6667 0.2500
Pu1 0.3333 0.6667 0.7500
Cr1 0.0000 0.0000 0.0000
O1 0.0289 0.3372 0.6234
```

Results
The calculated volume comes out at 116.9 Å³/f.u. Its magnetic moment is 5.0 μB per formula unit. The total energy comes out at -8.697 eV per atom.